Entry 1:
The following is a DFT calculation (GGA-PBEsol) of a relaxed DyB3Mo crystal.

## Properties
Formation enthalpy at 0 K   -690 meV/atom

CIF file:
```
data_DyB3Mo
_chemical_formula_sum 'Dy2 B6 Mo2'
_space_group_name_H-M_alt 'P 1 21/m 1'
_space_group_IT_number 11
_space_group_name_Hall '-P 2yb'
_cell_length_a 5.407
_cell_length_b 3.142
_cell_length_c 6.773
_cell_angle_alpha 90.00
_cell_angle_beta 102.09
_cell_angle_gamma 90.00
loop_
_atom_site_label
_atom_site_fract_x
_atom_site_fract_y
_atom_site_fract_z
_atom_site_occupancy
Dy1 0.176 0.250 0.209 1
B1 0.083 0.750 0.494 1
B2 0.413 0.750 0.496 1
B3 0.418 0.750 0.974 1
Mo1 0.311 0.250 0.719 1
```



Entry 2:
The following is a DFT calculation (GGA-PBEsol) of a relaxed Ba2CaZn crystal.

## Properties
Formation enthalpy at 0 K   12 meV/atom

CIF file:
```
data_Ba2CaZn
_chemical_formula_sum 'Ba4 Ca2 Zn2'
_space_group_name_H-M_alt 'A m m 2'
_space_group_IT_number 38
_space_group_name_Hall 'A 2 -2'
_cell_length_a 4.125
_cell_length_b 5.759
_cell_length_c 14.250
_cell_angle_alpha 90.00
_cell_angle_beta 90.00
_cell_angle_gamma 90.00
loop_
_atom_site_label
_atom_site_fract_x
_atom_site_fract_y
_atom_site_fract_z
_atom_site_occupancy
Ba1 0.000 0.000 0.000 1
Ba2 0.500 0.000 0.312 1
Ca1 0.000 0.000 0.688 1
Zn1 0.500 0.000 0.538 1
```



Entry 3:
The following is a DFT calculation (GGA-PBEsol) of a relaxed Sr3Al2Si2 crystal.

## Properties
E_form (uncorrected)   -40.3 kJ per mole of atoms

CIF file:
```
data_Sr3Al2Si2
_chemical_formula_sum 'Sr6 Al4 Si4'
_space_group_name_H-M_alt 'I m m m'
_space_group_IT_number 71
_space_group_name_Hall '-I 2 2'
_cell_length_a 4.175
_cell_length_b 4.757
_cell_length_c 19.086
_cell_angle_alpha 90.00
_cell_angle_beta 90.00
_cell_angle_gamma 90.00
loop_
_atom_site_label
_atom_site_fract_x
_atom_site_fract_y
_atom_site_fract_z
_atom_site_occupancy
Sr1 0.000 0.000 0.000 1
Sr2 0.000 0.500 0.314 1
Al1 0.000 0.000 0.433 1
Si1 0.000 0.500 0.139 1
```



Entry 4:
The following is a DFT calculation (GGA-PBEsol) of a relaxed Ru2PtBr crystal.

## Properties
Energy relative to the lowest polymorph listed for this composition   0.206 eV/atom
E_form (uncorrected)   65.3 kJ per mole of atoms

CIF file:
```
data_Ru2PtBr
_chemical_formula_sum 'Ru2 Pt1 Br1'
_space_group_name_H-M_alt 'P m m m'
_space_group_IT_number 47
_space_group_name_Hall '-P 2 2'
_cell_length_a 3.085
_cell_length_b 3.221
_cell_length_c 6.300
_cell_angle_alpha 90.00
_cell_angle_beta 90.00
_cell_angle_gamma 90.00
loop_
_atom_site_label
_atom_site_fract_x
_atom_site_fract_y
_atom_site_fract_z
_atom_site_occupancy
Ru1 0.000 0.000 0.216 1
Pt1 0.500 0.500 0.000 1
Br1 0.500 0.500 0.500 1
```



Entry 5:
The following is a DFT calculation (GGA-PBEsol) of a relaxed CuAu2Se crystal.

## Properties
E_form (uncorrected)   10.2 kJ per mole of atoms

CIF file:
```
data_CuAu2Se
_chemical_formula_sum 'Cu2 Au4 Se2'
_space_group_name_H-M_alt 'C 1 m 1'
_space_group_IT_number 8
_space_group_name_Hall 'C -2y'
_cell_length_a 8.985
_cell_length_b 2.777
_cell_length_c 6.071
_cell_angle_alpha 90.00
_cell_angle_beta 98.88
_cell_angle_gamma 90.00
loop_
_atom_site_label
_atom_site_fract_x
_atom_site_fract_y
_atom_site_fract_z
_atom_site_occupancy
Cu1 0.000 0.000 0.000 1
Au1 0.000 0.500 0.383 1
Au2 0.239 0.500 0.158 1
Se1 0.359 0.000 0.714 1
```



Entry 6:
The following is a DFT calculation (GGA-PBEsol) of a relaxed CsSiTe3 crystal.

## Properties
E_form (uncorrected)   -43.2 kJ per mole of atoms

CIF file:
```
data_CsSiTe3
_chemical_formula_sum 'Cs8 Si8 Te24'
_space_group_name_H-M_alt 'C 1 c 1'
_space_group_IT_number 9
_space_group_name_Hall 'C -2yc'
_cell_length_a 8.220
_cell_length_b 13.849
_cell_length_c 13.275
_cell_angle_alpha 90.00
_cell_angle_beta 101.14
_cell_angle_gamma 90.00
loop_
_atom_site_label
_atom_site_fract_x
_atom_site_fract_y
_atom_site_fract_z
_atom_site_occupancy
Cs1 0.000 0.096 0.000 1
Cs2 0.397 0.250 0.225 1
Si1 0.046 0.444 0.027 1
Si2 0.407 0.079 0.784 1
Te1 0.017 0.379 0.470 1
Te2 0.145 0.497 0.216 1
Te3 0.159 0.025 0.280 1
Te4 0.244 0.348 0.953 1
Te5 0.256 0.133 0.496 1
Te6 0.346 0.236 0.690 1
```



Entry 7:
The following is a DFT calculation (GGA-PBEsol) of a relaxed Zr2CuRe crystal.

## Properties
Formation enthalpy at 0 K   -216 meV/atom

CIF file:
```
data_Zr2CuRe
_chemical_formula_sum 'Zr8 Cu4 Re4'
_space_group_name_H-M_alt 'F m -3 m'
_space_group_IT_number 225
_space_group_name_Hall '-F 4 2 3'
_cell_length_a 6.505
_cell_length_b 6.505
_cell_length_c 6.505
_cell_angle_alpha 90.00
_cell_angle_beta 90.00
_cell_angle_gamma 90.00
loop_
_atom_site_label
_atom_site_fract_x
_atom_site_fract_y
_atom_site_fract_z
_atom_site_occupancy
Zr1 0.250 0.250 0.250 1
Cu1 0.000 0.000 0.000 1
Re1 0.000 0.000 0.500 1
```



Entry 8:
The following is a DFT calculation (GGA-PBEsol) of a relaxed NbAlCl8 crystal.

## Properties
E_form (uncorrected)   -126.4 kJ per mole of atoms

CIF file:
```
data_NbAlCl8
_chemical_formula_sum 'Nb4 Al4 Cl32'
_space_group_name_H-M_alt 'C m c m'
_space_group_IT_number 63
_space_group_name_Hall '-C 2c 2'
_cell_length_a 8.097
_cell_length_b 17.261
_cell_length_c 8.255
_cell_angle_alpha 90.00
_cell_angle_beta 90.00
_cell_angle_gamma 90.00
loop_
_atom_site_label
_atom_site_fract_x
_atom_site_fract_y
_atom_site_fract_z
_atom_site_occupancy
Nb1 0.000 0.110 0.250 1
Al1 0.000 0.314 0.250 1
Cl1 0.000 0.132 0.526 1
Cl2 0.000 0.380 0.035 1
Cl3 0.204 0.229 0.250 1
Cl4 0.217 0.029 0.250 1
```



Entry 9:
The following is a DFT calculation (GGA-PBEsol) of a relaxed BeMoIr2 crystal.

## Properties
Formation enthalpy at 0 K   -106 meV/atom

CIF file:
```
data_BeMoIr2
_chemical_formula_sum 'Be2 Mo2 Ir4'
_space_group_name_H-M_alt 'C m m m'
_space_group_IT_number 65
_space_group_name_Hall '-C 2 2'
_cell_length_a 5.495
_cell_length_b 7.133
_cell_length_c 2.738
_cell_angle_alpha 90.00
_cell_angle_beta 90.00
_cell_angle_gamma 90.00
loop_
_atom_site_label
_atom_site_fract_x
_atom_site_fract_y
_atom_site_fract_z
_atom_site_occupancy
Be1 0.000 0.000 0.000 1
Mo1 0.000 0.500 0.000 1
Ir1 0.250 0.250 0.500 1
```



Entry 10:
The following is a DFT calculation (GGA-PBEsol) of a relaxed CaFeP2Se crystal.

## Properties
E_form (uncorrected)   -41.4 kJ per mole of atoms

CIF file:
```
data_CaFeP2Se
_chemical_formula_sum 'Ca1 Fe1 P2 Se1'
_space_group_name_H-M_alt 'P 4/m m m'
_space_group_IT_number 123
_space_group_name_Hall '-P 4 2'
_cell_length_a 4.200
_cell_length_b 4.200
_cell_length_c 5.412
_cell_angle_alpha 90.00
_cell_angle_beta 90.00
_cell_angle_gamma 90.00
loop_
_atom_site_label
_atom_site_fract_x
_atom_site_fract_y
_atom_site_fract_z
_atom_site_occupancy
Ca1 0.000 0.000 0.000 1
Fe1 0.500 0.500 0.500 1
P1 0.000 0.500 0.500 1
Se1 0.500 0.500 0.000 1
```



Entry 11:
The following is a DFT calculation (GGA-PBEsol) of a relaxed ScPtSe2 crystal.

## Properties
Energy relative to the lowest polymorph listed for this composition   0.087 eV/atom
E_form (uncorrected)   -83.3 kJ per mole of atoms

CIF file:
```
data_ScPtSe2
_chemical_formula_sum 'Sc3 Pt3 Se6'
_space_group_name_H-M_alt 'R 3 m'
_space_group_IT_number 160
_space_group_name_Hall 'R 3 -2"'
_cell_length_a 3.9728
_cell_length_b 3.9728
_cell_length_c 19.7836
_cell_angle_alpha 90.00
_cell_angle_beta 90.00
_cell_angle_gamma 120.00
loop_
_atom_site_label
_atom_site_fract_x
_atom_site_fract_y
_atom_site_fract_z
_atom_site_occupancy
Sc1 0.0000 0.0000 0.0000 1
Pt1 0.0000 0.0000 0.2421 1
Se1 0.0000 0.0000 0.5430 1
Se2 0.0000 0.0000 0.7335 1
```



Entry 12:
The following is a DFT calculation (GGA-PBEsol) of a relaxed K2BeC crystal.

## Properties
Formation enthalpy at 0 K   1852 meV/atom

CIF file:
```
data_K2BeC
_chemical_formula_sum 'K8 Be4 C4'
_space_group_name_H-M_alt 'F m -3 m'
_space_group_IT_number 225
_space_group_name_Hall '-F 4 2 3'
_cell_length_a 7.386
_cell_length_b 7.386
_cell_length_c 7.386
_cell_angle_alpha 90.00
_cell_angle_beta 90.00
_cell_angle_gamma 90.00
loop_
_atom_site_label
_atom_site_fract_x
_atom_site_fract_y
_atom_site_fract_z
_atom_site_occupancy
K1 0.250 0.250 0.250 1
Be1 0.000 0.000 0.000 1
C1 0.000 0.000 0.500 1
```



Number 1: magnetic moment 0.00 μB/cell, uncorrected energy -8.249 eV per atom. Number 2: magnetic moment 0.00 μB/cell, uncorrected energy -1.991 eV per atom. Number 3: magnetic moment 0.00 μB/cell, uncorrected energy -4.017 eV per atom. Number 4: magnetic moment 0.00 μB/cell, uncorrected energy -6.617 eV per atom. Number 5: magnetic moment 0.00 μB/cell, uncorrected energy -3.903 eV per atom. Number 6: magnetic moment 0.00 μB/cell, uncorrected energy -3.901 eV per atom. Number 7: magnetic moment 0.00 μB/cell, uncorrected energy -9.178 eV per atom. Number 8: magnetic moment 0.00 μB/cell, uncorrected energy -4.408 eV per atom. Number 9: magnetic moment 0.00 μB/cell, uncorrected energy -8.960 eV per atom. Number 10: magnetic moment 0.00 μB/cell, uncorrected energy -5.735 eV per atom. Number 11: magnetic moment 0.00 μB/cell, uncorrected energy -6.181 eV per atom. Number 12: magnetic moment 8.02 μB/cell, uncorrected energy -2.126 eV per atom.